# 1
First-principles (PBE) data for a relaxed structure of NaTlSn2Br, as listed in Alexandria.

The calculation puts the volume at 39.25 Å³ per atom. Its total energy is -12.193 eV per cell. The value obtained for the mass density is 4.6 g/cm3. The uncorrected formation energy is 1.2 eV/f.u. The density of states at the Fermi level comes out at 0.752 states/eV per atom. Its magnetic moment is 0.0 μB/f.u.

The space group is P4/mmm (No. 123) and the conventional cell measures 5.702, 5.702 and 6.035 Å, with angles of 90.00, 90.00 and 90.00 degrees. The asymmetric unit holds Na at (0.000, 0.000, 0.000), Tl at (0.500, 0.500, 0.000), Sn at (0.000, 0.500, 0.500) and Br at (0.500, 0.500, 0.500).

# 2
First-principles (PBE) data for a relaxed structure of CePmSCl, as listed in Alexandria.

The calculation puts the volume at 24.27 Å³ per atom. Its total energy is -70.129 eV per cell. The value obtained for the mass density is 6.0 g/cm3. The uncorrected formation energy is -6.7 eV/f.u. The density of states at the Fermi level comes out at 1.422 states/eV per atom. Its magnetic moment is 1.4 μB/f.u.

The space group is R3m (No. 160, hexagonal axes) and the conventional cell measures 3.8895, 3.8895 and 22.2300 Å, with angles of 90.00, 90.00 and 120.00 degrees. The asymmetric unit holds Ce at (0.0000, 0.0000, 0.0000), Pm at (0.0000, 0.0000, 0.8104), S at (0.0000, 0.0000, 0.4061) and Cl at (0.0000, 0.0000, 0.2351).

# 3
First-principles (PBE) data for a relaxed structure of GdHfTcPd, as listed in Alexandria.

The calculation puts the volume at 19.30 Å³ per atom. Its total energy is -165.251 eV per cell. Its formation energy is -0.43 eV per atom. The value obtained for the mass density is 11.6 g/cm3. The density of states at the Fermi level comes out at 0.491 states/eV per atom. Its magnetic moment is 7.1 μB/f.u.

The space group is F-43m (No. 216) and the conventional cell measures 6.759, 6.759 and 6.759 Å, with angles of 90.00, 90.00 and 90.00 degrees. The asymmetric unit holds Gd at (0.000, 0.000, 0.000), Hf at (0.000, 0.000, 0.500), Tc at (0.250, 0.250, 0.250) and Pd at (0.250, 0.250, 0.750).

# 4
First-principles (PBE) data for a relaxed structure of CsRb2SnBi2, as listed in Alexandria.

The calculation puts the volume at 50.99 Å³ per atom. Its total energy is -65.258 eV per cell. Its formation energy is -0.29 eV per atom. The value obtained for the mass density is 4.6 g/cm3. The density of states at the Fermi level comes out at 0.674 states/eV per atom. Its magnetic moment is 0.0 μB/f.u.

The space group is Ibam (No. 72) and the conventional cell measures 9.661, 16.049 and 7.892 Å, with angles of 90.00, 90.00 and 90.00 degrees. The asymmetric unit holds Cs at (0.000, 0.000, 0.250), Rb at (0.176, 0.322, 0.000), Sn at (0.000, 0.500, 0.250) and Bi at (0.188, 0.401, 0.500).